! Zn2Pt | Alexandria via LeMat-Bulk | SCAN | single point on PBEsol structure; values from VASP
! space group	No. 12
! VASP energy	-196.768	eV for the cell shown
! calculated formation energy	-0.39	eV/atom
&SYSTEM
  ibrav = 0, nat = 6, ntyp = 2
/
ATOMIC_SPECIES
Zn 65.41 Zn.upf
Pt 195.08 Pt.upf
CELL_PARAMETERS angstrom
2.7912 0.0000 0.0000
-1.3956 5.9248 0.2701
0.0000 -1.5943 5.0353
ATOMIC_POSITIONS crystal
Zn 0.1685 0.3370 0.1009
Zn 0.5019 0.0038 0.7515
Zn 0.8315 0.6630 0.8991
Zn 0.4981 0.9962 0.2485
Pt 0.1602 0.3205 0.5968
Pt 0.8398 0.6795 0.4032